one:
An optimized crystal structure of Be3TcBr. Source: Alexandria via LeMat-Bulk, functional GGA-PBE.

```
Be3TcBr
1.0
-1.987 -0.645 3.819
2.376 -3.593 0.629
3.059 2.372 1.991
Be Tc Br
3 1 1
Direct
0.000 0.500 0.000
0.000 0.000 0.500
0.500 0.000 0.000
0.000 0.000 0.000
0.500 0.500 0.500
```

volume = 16.5 Å³ per atom
theoretical density = 4.13 g cm⁻³

***

two:
An optimized crystal structure of Be3TcBr. Source: Alexandria via LeMat-Bulk, functional GGA-PBE.

```
Be3TcBr
1.0
4.178 0.000 0.000
0.000 4.178 0.000
0.000 0.000 4.178
Be Tc Br
3 1 1
Direct
0.000 0.500 0.000
0.000 0.000 0.500
0.500 0.000 0.000
0.500 0.500 0.500
0.000 0.000 0.000
```

volume = 14.6 Å³ per atom
theoretical density = 4.67 g cm⁻³

***

Stability, highest: one

***

one:
An optimized crystal structure of BeTeBr3. Source: Alexandria via LeMat-Bulk, functional GGA-PBE.

```
BeTeBr3
1.0
4.897 0.000 0.000
0.000 4.897 0.000
0.000 0.000 4.897
Be Te Br
1 1 3
Direct
0.000 0.000 0.000
0.500 0.500 0.500
0.000 0.500 0.000
0.000 0.000 0.500
0.500 0.000 0.000
```

volume = 23.5 Å³ per atom
theoretical density = 5.32 g cm⁻³

***

two:
An optimized crystal structure of BeTeBr3. Source: Alexandria via LeMat-Bulk, functional GGA-PBE.

```
BeTeBr3
1.0
5.641 0.000 0.000
0.000 5.641 0.000
0.000 0.000 5.641
Be Te Br
1 1 3
Direct
0.500 0.500 0.500
0.000 0.000 0.000
0.000 0.500 0.000
0.000 0.000 0.500
0.500 0.000 0.000
```

volume = 35.9 Å³ per atom
theoretical density = 3.48 g cm⁻³

***

Stability, highest: one

***

one:
An optimized crystal structure of BeTe2Br. Source: Alexandria via LeMat-Bulk, functional GGA-PBE.

```
BeTe2Br
1.0
3.944 -0.589 -0.236
2.444 3.151 -0.236
2.702 1.084 7.195
Be Te Br
1 2 1
Direct
0.750 0.750 0.750
0.071 0.071 0.924
0.429 0.429 0.576
0.250 0.250 0.250
```

volume = 25.6 Å³ per atom
theoretical density = 5.57 g cm⁻³

***

two:
An optimized crystal structure of BeTe2Br. Source: Alexandria via LeMat-Bulk, functional GGA-PBE.

```
BeTe2Br
1.0
-2.632 2.396 2.067
-0.045 -4.116 -0.020
5.009 -0.086 6.479
Be Te Br
1 2 1
Direct
0.500 0.500 0.250
0.000 0.000 0.063
0.000 0.000 0.437
0.500 0.500 0.750
```

volume = 28.3 Å³ per atom
theoretical density = 5.04 g cm⁻³

***

three:
An optimized crystal structure of BeTe2Br. Source: Alexandria via LeMat-Bulk, functional GGA-PBE.

```
BeTe2Br
1.0
0.000 3.590 3.590
3.590 0.000 3.590
3.590 3.590 0.000
Be Te Br
1 2 1
Direct
0.000 0.000 0.000
0.250 0.250 0.250
0.750 0.750 0.750
0.500 0.500 0.500
```

volume = 23.1 Å³ per atom
theoretical density = 6.17 g cm⁻³

***

Stability, highest: one

***

one:
An optimized crystal structure of BeTe3Br. Source: Alexandria via LeMat-Bulk, functional GGA-PBE.

```
BeTe3Br
1.0
5.574 0.000 0.000
0.000 5.574 0.000
0.000 0.000 5.574
Be Te Br
1 3 1
Direct
0.500 0.500 0.500
0.000 0.500 0.000
0.000 0.000 0.500
0.500 0.000 0.000
0.000 0.000 0.000
```

volume = 34.6 Å³ per atom
theoretical density = 4.52 g cm⁻³

***

two:
An optimized crystal structure of BeTe3Br. Source: Alexandria via LeMat-Bulk, functional GGA-PBE.

```
BeTe3Br
1.0
5.042 0.000 0.000
0.000 5.042 0.000
0.000 0.000 5.042
Be Te Br
1 3 1
Direct
0.000 0.000 0.000
0.000 0.500 0.000
0.000 0.000 0.500
0.500 0.000 0.000
0.500 0.500 0.500
```

volume = 25.6 Å³ per atom
theoretical density = 6.11 g cm⁻³

***

Stability, highest: two

***

one:
An optimized crystal structure of ThBeBr. Source: Alexandria via LeMat-Bulk, functional GGA-PBE.

```
ThBeBr
1.0
4.023 0.405 -0.214
1.877 3.581 -0.214
-0.358 -0.242 12.100
Br Th Be
2 2 2
Direct
0.635 0.635 0.341
0.365 0.365 0.659
0.726 0.726 0.832
0.274 0.274 0.168
0.750 0.250 0.000
0.250 0.750 0.000
```

volume = 27.5 Å³ per atom
theoretical density = 6.47 g cm⁻³

***

two:
An optimized crystal structure of ThBeBr. Source: Alexandria via LeMat-Bulk, functional GGA-PBE.

```
ThBeBr
1.0
3.943 0.001 0.105
1.969 3.416 0.105
-0.050 -0.029 11.877
Th Be Br
2 2 2
Direct
0.993 0.993 0.660
0.007 0.007 0.340
0.667 0.667 0.501
0.333 0.333 0.499
0.682 0.682 0.164
0.318 0.318 0.836
```

volume = 26.7 Å³ per atom
theoretical density = 6.66 g cm⁻³

***

Stability, highest: two

***

one:
An optimized crystal structure of TiBe2Br2. Source: Alexandria via LeMat-Bulk, functional GGA-PBE.

```
TiBe2Br2
1.0
5.027 0.000 0.000
0.000 5.027 0.000
2.514 2.514 3.534
Be Br Ti
2 2 1
Direct
0.355 0.355 0.291
0.645 0.645 0.709
0.750 0.250 0.500
0.250 0.750 0.500
0.000 0.000 0.000
```

volume = 17.9 Å³ per atom
theoretical density = 4.20 g cm⁻³

***

two:
An optimized crystal structure of TiBe2Br2. Source: Alexandria via LeMat-Bulk, functional GGA-PBE.

```
TiBe2Br2
1.0
-1.103 -0.419 -7.242
-4.508 -5.700 1.016
-2.673 2.164 0.282
Be Br Ti
4 4 2
Direct
0.225 0.725 0.500
0.725 0.775 0.500
0.775 0.275 0.500
0.275 0.225 0.500
0.351 0.851 0.000
0.851 0.649 0.000
0.649 0.149 0.000
0.149 0.351 0.000
0.000 0.000 0.000
0.500 0.500 0.000
```

volume = 18.6 Å³ per atom
theoretical density = 4.03 g cm⁻³

***

three:
An optimized crystal structure of TiBe2Br2. Source: Alexandria via LeMat-Bulk, functional GGA-PBE.

```
TiBe2Br2
1.0
-0.673 6.674 -3.076
-0.678 -3.132 -6.647
-3.386 -0.150 0.416
Be Br Ti
4 4 2
Direct
0.402 0.902 0.000
0.902 0.598 0.000
0.598 0.098 0.000
0.098 0.402 0.000
0.263 0.763 0.500
0.763 0.737 0.500
0.737 0.237 0.500
0.237 0.263 0.500
0.000 0.000 0.000
0.500 0.500 0.000
```

volume = 18.6 Å³ per atom
theoretical density = 4.03 g cm⁻³

***

Stability, highest: three